Compound: K2Zr2MnTe6
Source: Alexandria
Functional: PBE-GGA
Structure: relaxed

**Crystal system**: monoclinic
**Space-group type**: No. 12
**ΔE_f (raw)**: -0.8091 eV/atom
**Density of states at the Fermi level**: 0.116 states/eV per atom
**ρ**: 4.68 Mg/m³

a b c (Å): 7.2431 7.2431 8.8151
angles (deg): 98.04 98.04 120.24
Closest atoms and distances in Å follow each position.
Element x y z (fractional)
K 0.1667 0.8333 0.0000  6 Te 3.53-3.54
K 0.8333 0.1667 0.0000  6 Te 3.53-3.54
Zr 0.3317 0.6683 0.5000  6 Te 2.93-2.94
Zr 0.6683 0.3317 0.5000  6 Te 2.93-2.94
Mn 0.0000 0.0000 0.5000  6 Te 2.91
Te 0.0695 0.3981 0.6967  1 Mn 2.91, 2 Zr 2.93-2.94
Te 0.2661 0.2661 0.3058  1 Mn 2.91, 2 Zr 2.94
Te 0.3981 0.0695 0.6967  1 Mn 2.91, 2 Zr 2.93-2.94
Te 0.6019 0.9305 0.3033  1 Mn 2.91, 2 Zr 2.93-2.94
Te 0.7339 0.7339 0.6942  1 Mn 2.91, 2 Zr 2.94
Te 0.9305 0.6019 0.3033  1 Mn 2.91, 2 Zr 2.93-2.94